# PBE HoTm3Tl3Te8, relaxed
# Crystal system: monoclinic
# ΔE_f (raw), eV/atom: -1.03
# DFT total energy, eV per atom: -4.383
# V, Å³/atom: 35.88
data_HoTm3Tl3Te8
_chemical_formula_sum 'Ho2 Tm6 Tl6 Te16'
_symmetry_space_group_name_H-M 'C 1 2/m 1'
_symmetry_Int_Tables_number 12
_symmetry_space_group_name_Hall '-C 2y'
_cell_length_a 15.105
_cell_length_b 8.704
_cell_length_c 9.615
_cell_angle_alpha 90.00
_cell_angle_beta 121.63
_cell_angle_gamma 90.00
loop_
_atom_site_label
_atom_site_type_symbol
_atom_site_fract_x
_atom_site_fract_y
_atom_site_fract_z
Ho1 Ho 0.000 0.000 0.000
Tm1 Tm 0.000 0.500 0.000
Tm2 Tm 0.250 0.250 0.000
Tl1 Tl 0.000 0.000 0.500
Tl2 Tl 0.250 0.250 0.500
Te1 Te 0.013 0.253 0.787
Te2 Te 0.238 0.500 0.213
Te3 Te 0.240 0.000 0.213